1.
First-principles (PBE-GGA) data for TiBePd after structural relaxation, as listed in Alexandria via LeMat-Bulk.

Output
The total moment is 0.000 μB per cell. For the uncorrected energy, the calculation gives -5.979 eV per atom. Its space group is P-6m2. As for the energy above the lowest structure with this stoichiometry: 0.0980 eV per atom. The value obtained for the energy relative to the elements is -375 meV/atom. The value obtained for the density of states at the Fermi level is 2.03 states/eV per cell.

Lattice parameters (Å, degrees): 4.156 4.156 2.720 90.00 90.00 120.00
Atoms (fractional coordinates):
Ti (0.000, 0.000, 0.000)
Be (0.667, 0.333, 0.500)
Pd (0.333, 0.667, 0.500)

2.
First-principles (PBE-GGA) data for TiBePd after structural relaxation, as listed in Alexandria via LeMat-Bulk.

Output
The total moment is 0.000 μB per cell. For the uncorrected energy, the calculation gives -5.944 eV per atom. Its space group is Cmce. As for the energy above the lowest structure with this stoichiometry: 0.1335 eV per atom. The value obtained for the energy relative to the elements is -339 meV/atom. The value obtained for the density of states at the Fermi level is 7.42 states/eV per cell.

Lattice parameters (Å, degrees): 5.757 5.757 6.140 90.00 90.00 126.05
Atoms (fractional coordinates):
Ti (0.185, 0.815, 0.925)
Ti (0.315, 0.685, 0.425)
Ti (0.685, 0.315, 0.575)
Ti (0.815, 0.185, 0.075)
Be (0.094, 0.906, 0.564)
Be (0.406, 0.594, 0.064)
Be (0.594, 0.406, 0.936)
Be (0.906, 0.094, 0.436)
Pd (0.186, 0.314, 0.750)
Pd (0.314, 0.186, 0.250)
Pd (0.686, 0.814, 0.750)
Pd (0.814, 0.686, 0.250)

3.
First-principles (PBE-GGA) data for TiBePd2 after structural relaxation, as listed in Alexandria via LeMat-Bulk.

Output
The total moment is 0.000 μB per cell. For the uncorrected energy, the calculation gives -5.898 eV per atom. Its space group is P4/mmm. The value obtained for the energy relative to the elements is -396 meV/atom. The value obtained for the density of states at the Fermi level is 4.16 states/eV per cell.

Lattice parameters (Å, degrees): 4.382 4.382 2.909 90.00 90.00 90.00
Atoms (fractional coordinates):
Ti (0.000, 0.000, 0.000)
Be (0.500, 0.500, 0.000)
Pd (0.000, 0.500, 0.500)
Pd (0.500, 0.000, 0.500)

Question: The lowest energy relative to the elements belongs to which entry?
Answer: TiBePd2

Question: Among the records above, which one has the lowest uncorrected energy?
Answer: number 1